First-principles (GGA-PBE) data for a geometry-optimized CrW3 structure, as listed in Alexandria via LeMat-Bulk.

Cell and atoms, written as POSCAR:
```
CrW3
1.0
3.958 0.000 0.000
0.000 3.958 0.000
0.000 0.000 3.958
Cr W
1 3
Cartesian
0.000 0.000 0.000
0.000 1.979 1.979
1.979 0.000 1.979
1.979 1.979 0.000
```

Computed properties:
DFT total energy (eV per cell): -46.587
Space group: Pm-3m, No. 221
Fermi-level density of states (states/eV per atom): 1.369
ΔH_f (0 K) (eV per atom): 0.474
Magnetization (μB/cell): 1.13